DFT (PBE-GGA) results for a geometry-optimized LiTi2Hg structure.

Properties
Size of the total moment: 0.000 μB per atom
Formation energy: 350 meV/atom
Space-group type: No. 122
Mass density: 7.04 Mg/m³

Cell lengths 7.5463, 7.5463, 5.8973 Å; angles 50.22, 50.22, 90.00 degrees
Sites, in units of the cell vectors:
Li  0.5000  0.5000  0.0000
Li  0.2500  0.7500  0.5000
Ti  0.8750  0.8665  0.7500
Ti  0.6165  0.1250  0.2500
Ti  0.1335  0.6250  0.2500
Ti  0.3750  0.3835  0.7500
Hg  0.7500  0.2500  0.5000
Hg  0.0000  0.0000  0.0000